DFT (PBE) results for an optimized crystal structure of Al2SbRh.

Properties
uncorrected formation energy = -3.12 kcal/mol of atoms
magnetic moment = 0.00 μB/f.u.
ρ = 6.59 g/cm³

a b c (Å): 5.0421 5.0421 5.0421
angles (deg): 136.82 125.07 72.31
Positions (direct):
1 Sb 0.2500 0.7500 0.5000
2 Al 0.9818 0.9818 0.0000
3 Al 0.5182 0.5182 0.0000
4 Rh 0.7500 0.2500 0.5000

=====

DFT (PBE) results for an optimized crystal structure of InBPS2.

Properties
uncorrected formation energy = 37.42 kcal/mol of atoms
excess energy over the best structure of this formula in the dataset = 1.066 eV/atom
magnetic moment = 1.40 μB/f.u.
ρ = 2.82 g/cm³

a b c (Å): 5.0599 5.0599 5.0729
angles (deg): 90.00 90.00 90.00
Positions (direct):
1 S 0.5000 0.0000 0.0000
2 S 0.0000 0.5000 0.0000
3 In 0.0000 0.0000 0.0000
4 P 0.0000 0.0000 0.5000
5 B 0.5000 0.5000 0.5000

=====

DFT (PBE) results for an optimized crystal structure of TlInMo2.

Properties
excess energy over the best structure of this formula in the dataset = 0.449 eV/atom
magnetic moment = 0.00 μB/f.u.
ρ = 11.22 g/cm³
formation energy from the elements = 0.775 eV per atom

a b c (Å): 4.7474 4.7474 4.7474
angles (deg): 60.00 60.00 60.00
Positions (direct):
1 Mo 0.7500 0.7500 0.7500
2 Mo 0.0000 0.0000 0.0000
3 In 0.5000 0.5000 0.5000
4 Tl 0.2500 0.2500 0.2500

=====

DFT (PBE) results for an optimized crystal structure of Sc5TlSe2.

Properties
uncorrected formation energy = -20.13 kcal/mol of atoms
magnetic moment = 1.47 μB/f.u.
ρ = 5.55 g/cm³

a b c (Å): 3.7730 6.7618 7.8946
angles (deg): 115.36 103.83 90.00
Positions (direct):
1 Sc 0.6347 0.3732 0.2694
2 Sc 0.3653 0.6268 0.7306
3 Sc 0.3653 0.1038 0.7306
4 Sc 0.0000 0.5000 0.0000
5 Sc 0.6347 0.8962 0.2694
6 Se 0.2035 0.7035 0.4069
7 Se 0.7965 0.2965 0.5931
8 Tl 0.0000 0.0000 0.0000

=====

DFT (PBE) results for an optimized crystal structure of LuPaAu.

Properties
excess energy over the best structure of this formula in the dataset = 0.000 eV/atom
magnetic moment = 0.26 μB/f.u.
ρ = 13.84 g/cm³
formation energy from the elements = -0.254 eV per atom

a b c (Å): 3.3243 3.3243 6.9540
angles (deg): 103.83 103.83 90.00
Positions (direct):
1 Pa 0.0081 0.0081 0.0161
2 Lu 0.3165 0.3165 0.6329
3 Au 0.6755 0.6755 0.3509

=====

DFT (PBE) results for an optimized crystal structure of Sm5Cd2Cu2.

Properties
magnetic moment = 0.00 μB/f.u.
ρ = 7.57 g/cm³
formation energy from the elements = -0.147 eV per atom

a b c (Å): 7.3971 7.3423 9.6373
angles (deg): 112.39 90.00 90.00
Positions (direct):
1 Sm 0.1832 0.1848 0.7454
2 Sm 0.6832 0.3152 0.2546
3 Sm 0.8168 0.5606 0.7454
4 Sm 0.0000 0.0000 0.0000
5 Sm 0.8168 0.8152 0.2546
6 Sm 0.6832 0.0606 0.7454
7 Sm 0.1832 0.4394 0.2546
8 Sm 0.5000 0.5000 0.0000
9 Sm 0.3168 0.6848 0.7454
10 Sm 0.3168 0.9394 0.2546
11 Cd 0.0000 0.2298 0.4596
12 Cd 0.5000 0.7298 0.4596
13 Cd 0.5000 0.2702 0.5404
14 Cd 0.0000 0.7702 0.5404
15 Cu 0.3802 0.1183 0.0000
16 Cu 0.1198 0.6183 0.0000
17 Cu 0.8802 0.3817 0.0000
18 Cu 0.6198 0.8817 0.0000

=====

DFT (PBE) results for an optimized crystal structure of InGe.

Properties
magnetic moment = 0.00 μB/f.u.
ρ = 6.46 g/cm³
formation energy from the elements = 0.154 eV per atom

a b c (Å): 12.5639 3.8526 5.9757
angles (deg): 90.00 90.00 90.00
Positions (direct):
1 In 0.3115 0.5000 0.6489
2 In 0.1885 0.0000 0.1489
3 In 0.0000 0.5000 0.9670
4 In 0.6885 0.5000 0.6489
5 In 0.8115 0.0000 0.1489
6 In 0.5000 0.0000 0.4670
7 Ge 0.0000 0.5000 0.4669
8 Ge 0.5000 0.0000 0.9669
9 Ge 0.3694 0.5000 0.1351
10 Ge 0.1306 0.0000 0.6351
11 Ge 0.6306 0.5000 0.1351
12 Ge 0.8694 0.0000 0.6351

=====

DFT (PBE) results for an optimized crystal structure of LiSc2Mn.

Properties
magnetic moment = 2.62 μB/f.u.
ρ = 3.15 g/cm³
formation energy from the elements = 0.293 eV per atom

a b c (Å): 3.1223 5.5065 5.9152
angles (deg): 51.98 90.00 90.00
Positions (direct):
1 Mn 0.0000 0.0000 0.5000
2 Sc 0.5000 0.5000 0.0000
3 Sc 0.0000 0.0000 0.0000
4 Li 0.5000 0.5000 0.5000

=====

DFT (PBE) results for an optimized crystal structure of HoPuIrOs.

Properties
magnetic moment = 4.17 μB/f.u.
ρ = 16.67 g/cm³
formation energy from the elements = -0.312 eV per atom

a b c (Å): 4.8130 4.8130 4.8130
angles (deg): 60.00 60.00 60.00
Positions (direct):
1 Ho 0.5000 0.5000 0.5000
2 Pu 0.0000 0.0000 0.0000
3 Ir 0.7500 0.7500 0.7500
4 Os 0.2500 0.2500 0.2500

=====

DFT (PBE) results for an optimized crystal structure of La3Pd4Au4.

Properties
magnetic moment = 0.00 μB/f.u.
ρ = 10.84 g/cm³
formation energy from the elements = -0.680 eV per atom

a b c (Å): 4.3887 3.8156 15.2006
angles (deg): 82.92 81.38 90.00
Positions (direct):
1 Pd 0.7448 0.7442 0.5108
2 Pd 0.2552 0.2559 0.4892
3 Pd 0.1017 0.6015 0.8007
4 Pd 0.8983 0.3985 0.1993
5 La 0.0000 0.0000 0.0000
6 La 0.6445 0.1476 0.7090
7 La 0.3555 0.8524 0.2910
8 Au 0.1874 0.6909 0.6221
9 Au 0.8125 0.3092 0.3779
10 Au 0.4534 0.4549 0.0933
11 Au 0.5465 0.5451 0.9067

=====

DFT (PBE) results for an optimized crystal structure of Sm4Ho2Sc3.

Properties
excess energy over the best structure of this formula in the dataset = 0.000 eV/atom
magnetic moment = 0.00 μB/f.u.
ρ = 6.59 g/cm³
formation energy from the elements = 0.048 eV per atom

a b c (Å): 4.9670 6.0025 10.4049
angles (deg): 73.66 89.99 65.57
Positions (direct):
1 Sc 0.0000 0.0000 0.0000
2 Sc 0.3358 0.3284 0.4481
3 Sc 0.6642 0.6716 0.5519
4 Sm 0.3341 0.3318 0.1127
5 Sm 0.6659 0.6682 0.8873
6 Sm 0.9952 0.0096 0.6643
7 Sm 0.0048 0.9904 0.3357
8 Ho 0.3302 0.3397 0.7724
9 Ho 0.6698 0.6603 0.2276

=====

DFT (PBE) results for an optimized crystal structure of Tm2TlSn.

Properties
magnetic moment = 0.00 μB/f.u.
ρ = 10.50 g/cm³
formation energy from the elements = -0.442 eV per atom

a b c (Å): 4.2866 4.9381 4.9381
angles (deg): 90.00 90.00 90.00
Positions (direct):
1 Tm 0.0000 0.5000 0.0000
2 Tm 0.0000 0.0000 0.5000
3 Sn 0.5000 0.0000 0.0000
4 Tl 0.5000 0.5000 0.5000